No. 1
DFT (GGA-PBE) results for a relaxed Fe2Co3H3 crystal.

Lattice parameters (Å, degrees): 4.3716 4.3716 8.8962 91.07 91.07 50.15
Last column: nearest neighbours and their distance in Å.
Atoms (fractional coordinates):
Fe: 0.0000 0.0000 0.0000  4 H 1.86-1.92
Fe: 0.0315 0.0315 0.3647  4 H 1.86-1.96
Fe: 0.2861 0.2861 0.8698  4 H 1.86-2.04
Fe: 0.6279 0.6279 0.5752  3 H 1.84-2.04
Co: 0.3295 0.3295 0.4874  4 H 1.79-1.86
Co: 0.3939 0.3939 0.1945  4 H 1.79-1.85
Co: 0.5873 0.5873 0.8270  3 H 1.77-1.85
Co: 0.7047 0.7047 0.0676  2 H 1.76-1.80
Co: 0.7225 0.7225 0.3233  3 H 1.74-1.88
Co: 0.9271 0.9271 0.6933  4 H 1.77-1.86
H: 0.4215 0.4215 0.6820  4 Co 1.82-1.86, 2 Fe 1.91-2.00
H: 0.4890 0.4890 0.0143  3 Co 1.76-1.85, 2 Fe 1.86
H: 0.5095 0.5095 0.3694  3 Co 1.74-1.79, 2 Fe 1.86
H: 0.8081 0.8081 0.8643  2 Co 1.77-1.81, 3 Fe 1.86-1.92
H: 0.8453 0.8453 0.5067  4 Co 1.77-1.88, 2 Fe 1.84-1.96
H: 0.8912 0.8912 0.1873  4 Co 1.80-1.85, 2 Fe 1.89-1.91

## Properties
- SG = Cm, No. 8

***

No. 2
DFT (GGA-PBE) results for a relaxed KAl2Cl crystal.

Lattice parameters (Å, degrees): 3.5074 3.5074 8.4747 90.00 90.00 90.00
Last column: nearest neighbours and their distance in Å.
Atoms (fractional coordinates):
K: 0.0000 0.0000 0.0000  4 Cl 3.00
Al: 0.0000 0.0000 0.5098  4 Al 2.81
Al: 0.5000 0.5000 0.3543  4 Al 2.81
Cl: 0.5000 0.5000 0.8003  4 K 3.00

## Properties
- SG = P4mm, No. 99
- E_form (uncorrected) (meV/atom) = -335

***

No. 3
DFT (GGA-PBE) results for a relaxed Ti8MnMo2 crystal.

Lattice parameters (Å, degrees): 7.4179 7.4179 5.9144 104.63 104.63 34.77
Last column: nearest neighbours and their distance in Å.
Atoms (fractional coordinates):
Ti: 0.0207 0.0207 0.2644  2 Mn 2.67, 1 Mo 2.79, 7 Ti 2.81-3.00
Ti: 0.1745 0.1745 0.7103  3 Mo 2.59-2.80, 6 Ti 2.73-2.88
Ti: 0.3450 0.3450 0.5778  1 Mn 2.36
Ti: 0.3944 0.3944 0.0657  1 Mn 2.61, 2 Mo 2.76, 5 Ti 2.78-2.89
Ti: 0.6056 0.6056 0.9343  1 Mn 2.61, 2 Mo 2.76, 5 Ti 2.78-2.89
Ti: 0.6550 0.6550 0.4222  1 Mn 2.36
Ti: 0.8255 0.8255 0.2897  3 Mo 2.59-2.80, 6 Ti 2.73-2.88
Ti: 0.9793 0.9793 0.7356  2 Mn 2.67, 1 Mo 2.79, 7 Ti 2.81-3.00
Mn: 0.5000 0.5000 0.5000  4 Ti 2.36-2.61
Mo: 0.2023 0.2023 0.1612  9 Ti 2.59-2.88
Mo: 0.7977 0.7977 0.8388  9 Ti 2.59-2.88

## Properties
- SG = C2/m, No. 12
- energy of formation (meV/atom) = -11

***

No. 4
DFT (GGA-PBE) results for a relaxed LaP2AuS crystal.

Lattice parameters (Å, degrees): 4.6083 4.6083 5.4415 90.00 90.00 90.00
Last column: nearest neighbours and their distance in Å.
Atoms (fractional coordinates):
La: 0.0000 0.0000 0.0000  2 S 2.72
P: 0.0000 0.5000 0.5000  2 S 2.30
P: 0.5000 0.0000 0.5000  2 S 2.30
Au: 0.5000 0.5000 0.0000  4 La 3.26, 8 P 3.57
S: 0.0000 0.0000 0.5000  4 P 2.30

## Properties
- SG = P4/mmm, No. 123
- E_form (uncorrected) (meV/atom) = -10

***

No. 5
DFT (GGA-PBE) results for a relaxed BeRh2Se crystal.

Lattice parameters (Å, degrees): 3.5412 3.5412 8.7712 90.00 90.00 90.00
Last column: nearest neighbours and their distance in Å.
Atoms (fractional coordinates):
Be: 0.0000 0.0000 0.0000  4 Rh 2.50
Be: 0.5000 0.5000 0.5000  4 Rh 2.50
Rh: 0.0000 0.0000 0.5000  4 Be 2.50
Rh: 0.0000 0.5000 0.7500  4 Se 2.50
Rh: 0.5000 0.0000 0.2500  4 Se 2.50
Rh: 0.5000 0.5000 0.0000  4 Be 2.50
Se: 0.0000 0.5000 0.2500  4 Rh 2.50
Se: 0.5000 0.0000 0.7500  4 Rh 2.50

## Properties
- SG = I-4m2, No. 119
- E_form (uncorrected) (meV/atom) = 22

***

No. 6
DFT (GGA-PBE) results for a relaxed ErB3Ir6 crystal.

Lattice parameters (Å, degrees): 6.1346 6.1346 6.1346 52.86 52.86 52.86
Last column: nearest neighbours and their distance in Å.
Atoms (fractional coordinates):
Er: 0.0000 0.0000 0.0000  1 B 2.62, 6 Ir 2.90-2.92
B: 0.3009 0.3009 0.3009  6 Ir 2.16-2.18
B: 0.6338 0.6338 0.6338  6 Ir 2.15-2.19
B: 0.8340 0.8340 0.8340  6 Ir 2.28-2.45
Ir: 0.0641 0.5611 0.5652  3 B 2.18-2.28
Ir: 0.3080 0.4490 0.8766  2 B 2.15-2.16
Ir: 0.4490 0.8766 0.3080  2 B 2.15-2.16
Ir: 0.5611 0.5652 0.0641  3 B 2.18-2.28
Ir: 0.5652 0.0641 0.5611  3 B 2.18-2.28
Ir: 0.8766 0.3080 0.4490  2 B 2.15-2.16

## Properties
- SG = R3, No. 146
- energy of formation (meV/atom) = -338

***

No. 7
DFT (GGA-PBE) results for a relaxed K2Pm2AsO6 crystal.

Lattice parameters (Å, degrees): 5.9368 5.9368 6.6317 97.32 97.32 119.48
Last column: nearest neighbours and their distance in Å.
Atoms (fractional coordinates):
K: 0.1565 0.8435 0.0000  4 O 2.72-2.78
K: 0.8435 0.1565 0.0000  4 O 2.72-2.78
Pm: 0.3349 0.6651 0.5000  6 O 2.35-2.40
Pm: 0.6651 0.3349 0.5000  6 O 2.35-2.40
As: 0.0000 0.0000 0.5000  6 O 2.03-2.10
O: 0.0439 0.3470 0.6715  1 As 2.10
O: 0.2359 0.2359 0.3268  1 As 2.03
O: 0.3470 0.0439 0.6715  1 As 2.10
O: 0.6530 0.9561 0.3285  1 As 2.10
O: 0.7641 0.7641 0.6732  1 As 2.03
O: 0.9561 0.6530 0.3285  1 As 2.10

## Properties
- SG = C2/m, No. 12
- E_form (uncorrected) (meV/atom) = -2142

***

No. 8
DFT (GGA-PBE) results for a relaxed LiTl16Pb12 crystal.

Lattice parameters (Å, degrees): 10.6050 10.6050 10.5496 109.33 109.33 109.63
Last column: nearest neighbours and their distance in Å.
Atoms (fractional coordinates):
Li: 0.0000 0.0000 0.0000  5 Pb 3.22-3.54, 1 Tl 3.31
Tl: 0.0336 0.7185 0.1195  5 Pb 3.35-3.56, 6 Tl 3.48-3.73, 1 Li 3.68
Tl: 0.3003 0.3003 0.0669  1 Li 3.31, 2 Tl 3.46, 4 Pb 3.61-3.68
Tl: 0.3111 0.6599 0.7111  4 Tl 3.43-3.72, 6 Pb 3.62-3.74
Tl: 0.3116 0.3116 0.7179  4 Tl 3.72-3.77, 12 Pb 3.74-3.93
Tl: 0.3163 0.6261 0.3103  5 Pb 3.36-3.59, 7 Tl 3.46-3.75
Tl: 0.3158 0.9053 0.0271  5 Pb 3.30-3.59, 4 Tl 3.46-3.67
Tl: 0.5924 0.9989 0.4033  5 Pb 3.34-3.63, 6 Tl 3.43-3.73
Tl: 0.6261 0.3163 0.3103  5 Pb 3.36-3.59, 7 Tl 3.46-3.75
Tl: 0.6257 0.9085 0.7209  5 Pb 3.30-3.64, 3 Tl 3.43-3.65, 1 Li 3.63
Tl: 0.6599 0.3111 0.7111  4 Tl 3.43-3.72, 6 Pb 3.62-3.74
Tl: 0.7155 0.7155 0.4355  5 Pb 3.34-3.59, 7 Tl 3.44-3.72
Tl: 0.7185 0.0336 0.1195  5 Pb 3.35-3.56, 6 Tl 3.48-3.73, 1 Li 3.68
Tl: 0.9053 0.3158 0.0271  5 Pb 3.30-3.59, 4 Tl 3.46-3.67
Tl: 0.9085 0.6257 0.7209  5 Pb 3.30-3.64, 3 Tl 3.43-3.65, 1 Li 3.63
Tl: 0.9561 0.9561 0.3625  4 Tl 3.44-3.77, 6 Pb 3.66-3.70
Tl: 0.9989 0.5924 0.4033  5 Pb 3.34-3.63, 6 Tl 3.43-3.73
Pb: 0.1153 0.3029 0.3287  3 Pb 3.22-3.32, 3 Tl 3.30-3.51, 1 Li 3.32
Pb: 0.1192 0.9360 0.7201  3 Pb 3.18-3.33, 3 Tl 3.30-3.47, 1 Li 3.54
Pb: 0.1325 0.5013 0.9056  3 Pb 3.19-3.31, 4 Tl 3.35-3.58
Pb: 0.3029 0.1153 0.3287  3 Pb 3.22-3.32, 3 Tl 3.30-3.51, 1 Li 3.32
Pb: 0.3076 0.9361 0.5224  3 Pb 3.22-3.33, 5 Tl 3.36-3.58
Pb: 0.4981 0.4981 0.5309  3 Pb 3.20-3.32, 3 Tl 3.34-3.44
Pb: 0.5013 0.1325 0.9056  3 Pb 3.19-3.31, 4 Tl 3.35-3.58
Pb: 0.5012 0.6909 0.0900  3 Pb 3.19-3.32, 4 Tl 3.34-3.55
Pb: 0.6909 0.5012 0.0900  3 Pb 3.19-3.32, 4 Tl 3.34-3.55
Pb: 0.6970 0.6970 0.9011  3 Pb 3.20-3.32, 1 Li 3.22, 4 Tl 3.43-3.50
Pb: 0.9360 0.1192 0.7201  3 Pb 3.18-3.33, 3 Tl 3.30-3.47, 1 Li 3.54
Pb: 0.9361 0.3076 0.5224  3 Pb 3.22-3.33, 5 Tl 3.36-3.58

## Properties
- SG = Cm, No. 8
- energy of formation (meV/atom) = -6

***

No. 9
DFT (GGA-PBE) results for a relaxed Ac2CuNiAu crystal.

Lattice parameters (Å, degrees): 8.2822 8.2822 4.4997 90.00 90.00 120.22
Last column: nearest neighbours and their distance in Å.
Atoms (fractional coordinates):
Ac: 0.1182 0.3596 0.2500  3 Ni 3.00-3.22, 3 Cu 3.24-3.29, 2 Au 3.26
Ac: 0.3596 0.1182 0.7500  3 Ni 3.00-3.22, 3 Cu 3.24-3.29, 2 Au 3.26
Ac: 0.6404 0.8818 0.2500  3 Ni 3.00-3.22, 3 Cu 3.24-3.29, 2 Au 3.26
Ac: 0.8818 0.6404 0.7500  3 Ni 3.00-3.22, 3 Cu 3.24-3.29, 2 Au 3.26
Cu: 0.2065 0.7935 0.2500  1 Ni 2.43, 2 Au 2.71
Cu: 0.7935 0.2065 0.7500  1 Ni 2.43, 2 Au 2.71
Ni: 0.0372 0.9628 0.2500  1 Cu 2.43, 2 Ni 2.49
Ni: 0.9628 0.0372 0.7500  1 Cu 2.43, 2 Ni 2.49
Au: 0.3117 0.6883 0.7500  2 Cu 2.71
Au: 0.6883 0.3117 0.2500  2 Cu 2.71

## Properties
- SG = Cmcm, No. 63
- energy of formation (meV/atom) = -434

***

No. 10
DFT (GGA-PBE) results for a relaxed Mg2HgB crystal.

Lattice parameters (Å, degrees): 6.4912 6.4912 6.4912 90.00 90.00 90.00
Last column: nearest neighbours and their distance in Å.
Atoms (fractional coordinates):
Mg: 0.2500 0.2500 0.2500  4 Hg 2.81, 4 B 2.81
Mg: 0.2500 0.2500 0.7500  4 Hg 2.81, 4 B 2.81
Mg: 0.2500 0.7500 0.2500  4 Hg 2.81, 4 B 2.81
Mg: 0.2500 0.7500 0.7500  4 Hg 2.81, 4 B 2.81
Mg: 0.7500 0.2500 0.2500  4 Hg 2.81, 4 B 2.81
Mg: 0.7500 0.2500 0.7500  4 Hg 2.81, 4 B 2.81
Mg: 0.7500 0.7500 0.2500  4 Hg 2.81, 4 B 2.81
Mg: 0.7500 0.7500 0.7500  4 Hg 2.81, 4 B 2.81
Hg: 0.0000 0.0000 0.0000  8 Mg 2.81
Hg: 0.0000 0.5000 0.5000  8 Mg 2.81
Hg: 0.5000 0.0000 0.5000  8 Mg 2.81
Hg: 0.5000 0.5000 0.0000  8 Mg 2.81
B: 0.0000 0.0000 0.5000  8 Mg 2.81
B: 0.0000 0.5000 0.0000  8 Mg 2.81
B: 0.5000 0.0000 0.0000  8 Mg 2.81
B: 0.5000 0.5000 0.5000  8 Mg 2.81

## Properties
- SG = Fm-3m, No. 225
- energy of formation (meV/atom) = 480

***

No. 11
DFT (GGA-PBE) results for a relaxed Al2TcCl crystal.

Lattice parameters (Å, degrees): 6.9832 6.9832 5.6670 90.00 90.00 90.00
Last column: nearest neighbours and their distance in Å.
Atoms (fractional coordinates):
Al: 0.2456 0.2500 0.1250  2 Tc 2.55, 2 Cl 2.59, 2 Al 2.83
Al: 0.2500 0.7456 0.3750  2 Tc 2.55, 2 Cl 2.59, 2 Al 2.83
Al: 0.2500 0.7544 0.8750  2 Tc 2.55, 2 Cl 2.59, 2 Al 2.83
Al: 0.2544 0.2500 0.6250  2 Tc 2.55, 2 Cl 2.59, 2 Al 2.83
Al: 0.7456 0.7500 0.6250  2 Tc 2.55, 2 Cl 2.59, 2 Al 2.83
Al: 0.7500 0.2456 0.8750  2 Tc 2.55, 2 Cl 2.59, 2 Al 2.83
Al: 0.7500 0.2544 0.3750  2 Tc 2.55, 2 Cl 2.59, 2 Al 2.83
Al: 0.7544 0.7500 0.1250  2 Tc 2.55, 2 Cl 2.59, 2 Al 2.83
Tc: 0.0000 0.0000 0.0000  4 Al 2.55, 2 Cl 2.83
Tc: 0.0000 0.5000 0.2500  4 Al 2.55, 2 Cl 2.83
Tc: 0.5000 0.0000 0.7500  4 Al 2.55, 2 Cl 2.83
Tc: 0.5000 0.5000 0.5000  4 Al 2.55, 2 Cl 2.83
Cl: 0.0000 0.0000 0.5000  4 Al 2.59, 2 Tc 2.83
Cl: 0.0000 0.5000 0.7500  4 Al 2.59, 2 Tc 2.83
Cl: 0.5000 0.0000 0.2500  4 Al 2.59, 2 Tc 2.83
Cl: 0.5000 0.5000 0.0000  4 Al 2.59, 2 Tc 2.83

## Properties
- SG = I-42d, No. 122
- E_form (uncorrected) (meV/atom) = 388

***

No. 12
DFT (GGA-PBE) results for a relaxed NaSn3Cl crystal.

Lattice parameters (Å, degrees): 5.4955 5.4955 5.4955 90.00 90.00 90.00
Last column: nearest neighbours and their distance in Å.
Atoms (fractional coordinates):
Na: 0.0000 0.0000 0.0000  12 Sn 3.89
Sn: 0.0000 0.5000 0.5000  2 Cl 2.75
Sn: 0.5000 0.0000 0.5000  2 Cl 2.75
Sn: 0.5000 0.5000 0.0000  2 Cl 2.75
Cl: 0.5000 0.5000 0.5000  6 Sn 2.75

## Properties
- SG = Pm-3m, No. 221
- E_form (uncorrected) (meV/atom) = 219

***

Record order is preserved below.
Raw total energy: -5.90 -2.94 -8.56 -4.64 -5.46 -8.11 -6.33 -2.91 -4.71 -2.06 -4.54 -2.82 eV per atom
Record order is preserved below.
Volume: 130.5 104.3 179.0 115.6 110.0 135.9 196.9 914.6 266.7 273.5 276.4 166.0 Å³ per cell